# GGA-PBE PaAsOsO, optimized geometry
data_PaAsOsO
_space_group_name_H-M_alt 'P 4/n m m'
_space_group_IT_number 129
_cell_length_a 5.8691
_cell_length_b 5.8691
_cell_length_c 4.4913
_cell_angle_alpha 90.00
_cell_angle_beta 90.00
_cell_angle_gamma 90.00
loop_
_space_group_symop_operation_xyz
'x,y,z'
'-x,-y,-z'
'-y+1/2,x,z'
'y+1/2,-x,-z'
'-x+1/2,-y+1/2,z'
'x+1/2,y+1/2,-z'
'y,-x+1/2,z'
'-y,x+1/2,-z'
'x+1/2,-y,-z'
'-x+1/2,y,z'
'-y,-x,-z'
'y,x,z'
'-x,y+1/2,-z'
'x,-y+1/2,z'
'y+1/2,x+1/2,-z'
'-y+1/2,-x+1/2,z'
loop_
_atom_site_label
_atom_site_type_symbol
_atom_site_fract_x
_atom_site_fract_y
_atom_site_fract_z
Pa1 Pa 0.2500 0.7500 0.0000
As1 As 0.2500 0.2500 0.4962
Os1 Os 0.2500 0.2500 0.9964
O1 O 0.2500 0.7500 0.5000
# - Crystal system: tetragonal
# - E above lowest polymorph: 0.0 kJ per mole of atoms

---

# GGA-PBE PaAsOsO, optimized geometry
data_PaAsOsO
_space_group_name_H-M_alt 'P 4/n m m'
_space_group_IT_number 129
_cell_length_a 4.0783
_cell_length_b 4.0783
_cell_length_c 7.6991
_cell_angle_alpha 90.00
_cell_angle_beta 90.00
_cell_angle_gamma 90.00
loop_
_space_group_symop_operation_xyz
'x,y,z'
'-x,-y,-z'
'-y+1/2,x,z'
'y+1/2,-x,-z'
'-x+1/2,-y+1/2,z'
'x+1/2,y+1/2,-z'
'y,-x+1/2,z'
'-y,x+1/2,-z'
'x+1/2,-y,-z'
'-x+1/2,y,z'
'-y,-x,-z'
'y,x,z'
'-x,y+1/2,-z'
'x,-y+1/2,z'
'y+1/2,x+1/2,-z'
'-y+1/2,-x+1/2,z'
loop_
_atom_site_label
_atom_site_type_symbol
_atom_site_fract_x
_atom_site_fract_y
_atom_site_fract_z
Pa1 Pa 0.2500 0.2500 0.1711
As1 As 0.2500 0.2500 0.6798
Os1 Os 0.2500 0.7500 0.5000
O1 O 0.2500 0.7500 0.0000
# - Crystal system: tetragonal
# - E above lowest polymorph: 6.1 kJ per mole of atoms

---

# GGA-PBE PmAsOsO, optimized geometry
data_PmAsOsO
_space_group_name_H-M_alt 'P m c 21'
_space_group_IT_number 26
_space_group_name_Hall 'P 2c -2'
_cell_length_a 4.1381
_cell_length_b 6.2637
_cell_length_c 5.8348
_cell_angle_alpha 90.00
_cell_angle_beta 90.00
_cell_angle_gamma 90.00
loop_
_atom_site_label
_atom_site_type_symbol
_atom_site_fract_x
_atom_site_fract_y
_atom_site_fract_z
Pm1 Pm 0.0000 0.1756 0.0000
As1 As 0.0000 0.3279 0.4708
Os1 Os 0.5000 0.4905 0.1780
O1 O 0.5000 0.2602 0.9051
# - Crystal system: orthorhombic
# - E above lowest polymorph: 68.8 kJ per mole of atoms

---

# GGA-PBE PmAsOsO, optimized geometry
data_PmAsOsO
_space_group_name_H-M_alt 'P 4/n m m'
_space_group_IT_number 129
_cell_length_a 4.1055
_cell_length_b 4.1055
_cell_length_c 8.2155
_cell_angle_alpha 90.00
_cell_angle_beta 90.00
_cell_angle_gamma 90.00
loop_
_space_group_symop_operation_xyz
'x,y,z'
'-x,-y,-z'
'-y+1/2,x,z'
'y+1/2,-x,-z'
'-x+1/2,-y+1/2,z'
'x+1/2,y+1/2,-z'
'y,-x+1/2,z'
'-y,x+1/2,-z'
'x+1/2,-y,-z'
'-x+1/2,y,z'
'-y,-x,-z'
'y,x,z'
'-x,y+1/2,-z'
'x,-y+1/2,z'
'y+1/2,x+1/2,-z'
'-y+1/2,-x+1/2,z'
loop_
_atom_site_label
_atom_site_type_symbol
_atom_site_fract_x
_atom_site_fract_y
_atom_site_fract_z
Pm1 Pm 0.2500 0.2500 0.1367
As1 As 0.2500 0.2500 0.6647
Os1 Os 0.2500 0.7500 0.5000
O1 O 0.2500 0.7500 0.0000
# - Crystal system: tetragonal
# - E above lowest polymorph: 0.0 kJ per mole of atoms

---

# GGA-PBE PmAsOsO, optimized geometry
data_PmAsOsO
_space_group_name_H-M_alt 'P m c 21'
_space_group_IT_number 26
_space_group_name_Hall 'P 2c -2'
_cell_length_a 4.2580
_cell_length_b 4.2684
_cell_length_c 7.3835
_cell_angle_alpha 90.00
_cell_angle_beta 90.00
_cell_angle_gamma 90.00
loop_
_atom_site_label
_atom_site_type_symbol
_atom_site_fract_x
_atom_site_fract_y
_atom_site_fract_z
Pm1 Pm 0.0000 0.2485 0.0000
As1 As 0.5000 0.2547 0.6689
Os1 Os 0.5000 0.2422 0.3358
O1 O 0.0000 0.2555 0.3326
# - Crystal system: orthorhombic
# - E above lowest polymorph: 53.5 kJ per mole of atoms

---

# GGA-PBE PmAsOsO, optimized geometry
data_PmAsOsO
_space_group_name_H-M_alt 'P 4/n m m'
_space_group_IT_number 129
_cell_length_a 4.3051
_cell_length_b 4.3051
_cell_length_c 7.0375
_cell_angle_alpha 90.00
_cell_angle_beta 90.00
_cell_angle_gamma 90.00
loop_
_space_group_symop_operation_xyz
'x,y,z'
'-x,-y,-z'
'-y+1/2,x,z'
'y+1/2,-x,-z'
'-x+1/2,-y+1/2,z'
'x+1/2,y+1/2,-z'
'y,-x+1/2,z'
'-y,x+1/2,-z'
'x+1/2,-y,-z'
'-x+1/2,y,z'
'-y,-x,-z'
'y,x,z'
'-x,y+1/2,-z'
'x,-y+1/2,z'
'y+1/2,x+1/2,-z'
'-y+1/2,-x+1/2,z'
loop_
_atom_site_label
_atom_site_type_symbol
_atom_site_fract_x
_atom_site_fract_y
_atom_site_fract_z
Pm1 Pm 0.2500 0.7500 0.0000
As1 As 0.2500 0.2500 0.2925
Os1 Os 0.2500 0.2500 0.6393
O1 O 0.2500 0.7500 0.5000
# - Crystal system: tetragonal
# - E above lowest polymorph: 179.4 kJ per mole of atoms